1.
The following is a DFT calculation (PBE) of a relaxed structure of AcTh2Cd6.

Cell lengths 8.9641, 8.9641, 3.4640 Å; angles 90.00, 90.00, 120.00 degrees
Fractional coordinates of all 9 atoms:
Ac: 0.0000 0.0000 0.0000
Th: 0.3333 0.6667 0.0000
Th: 0.6667 0.3333 0.0000
Cd: 0.0000 0.3372 0.5000
Cd: 0.0000 0.6628 0.5000
Cd: 0.3372 0.0000 0.5000
Cd: 0.3372 0.3372 0.5000
Cd: 0.6628 0.0000 0.5000
Cd: 0.6628 0.6628 0.5000

Values from the calculation:
- E_form (eV/atom) = -0.2096
- crystal system = hexagonal
- symmetry = No. 191



2.
The following is a DFT calculation (PBE) of a relaxed structure of BaSr3Zn.

Cell lengths 6.3327, 6.3327, 6.3327 Å; angles 90.00, 90.00, 90.00 degrees
Fractional coordinates of all 5 atoms:
Ba: 0.0000 0.0000 0.0000
Sr: 0.0000 0.5000 0.5000
Sr: 0.5000 0.0000 0.5000
Sr: 0.5000 0.5000 0.0000
Zn: 0.5000 0.5000 0.5000

Values from the calculation:
- energy relative to the lowest polymorph listed for this composition (meV per atom) = 0.0
- E_form (eV/atom) = -0.0268
- crystal system = cubic
- symmetry = No. 221



3.
The following is a DFT calculation (PBE) of a relaxed structure of Ca2Ag3Bi2.

Cell lengths 11.3315, 4.7958, 7.0727 Å; angles 90.00, 107.78, 90.00 degrees
Fractional coordinates of all 14 atoms:
Ca: 0.1334 0.0000 0.2384
Ca: 0.3666 0.5000 0.7616
Ca: 0.6334 0.5000 0.2384
Ca: 0.8666 0.0000 0.7616
Ag: 0.0000 0.5000 0.5000
Ag: 0.0997 0.5000 0.9276
Ag: 0.4003 0.0000 0.0724
Ag: 0.5000 0.0000 0.5000
Ag: 0.5997 0.0000 0.9276
Ag: 0.9003 0.5000 0.0724
Bi: 0.1589 0.0000 0.7224
Bi: 0.3411 0.5000 0.2776
Bi: 0.6589 0.5000 0.7224
Bi: 0.8411 0.0000 0.2776

Values from the calculation:
- E_form (eV/atom) = -0.3678
- crystal system = monoclinic
- symmetry = No. 12



4.
The following is a DFT calculation (PBE) of a relaxed structure of LaHo2Th.

Cell lengths 3.6128, 3.6128, 10.0509 Å; angles 90.00, 90.00, 90.00 degrees
Fractional coordinates of all 4 atoms:
La: 0.0000 0.0000 0.0000
Ho: 0.5000 0.5000 0.2624
Ho: 0.5000 0.5000 0.7376
Th: 0.0000 0.0000 0.5000

Values from the calculation:
- energy relative to the lowest polymorph listed for this composition (meV per atom) = 12.9
- E_form (eV/atom) = 0.0148
- crystal system = tetragonal
- symmetry = No. 123



5.
The following is a DFT calculation (PBE) of a relaxed structure of TcSnHF.

Cell lengths 9.3104, 2.8863, 4.2636 Å; angles 90.00, 101.39, 90.00 degrees
Fractional coordinates of all 8 atoms:
Tc: 0.0000 0.0000 0.0000
Tc: 0.5000 0.5000 0.0000
Sn: 0.1365 0.5000 0.5856
Sn: 0.6365 0.0000 0.5856
H: 0.3551 0.5000 0.6655
H: 0.8551 0.0000 0.6655
F: 0.3636 0.0000 0.1620
F: 0.8636 0.5000 0.1620

Values from the calculation:
- energy relative to the lowest polymorph listed for this composition (meV per atom) = 138.7
- crystal system = monoclinic
- symmetry = No. 8



6.
The following is a DFT calculation (PBE) of a relaxed structure of SrAgPdI2.

Cell lengths 5.4661, 5.4661, 5.7882 Å; angles 90.00, 90.00, 90.00 degrees
Fractional coordinates of all 5 atoms:
Sr: 0.0000 0.0000 0.0000
Ag: 0.5000 0.5000 0.0000
Pd: 0.0000 0.0000 0.5000
I: 0.0000 0.5000 0.5000
I: 0.5000 0.0000 0.5000

Values from the calculation:
- crystal system = tetragonal
- symmetry = No. 123
- ΔE_f (raw) (meV/atom) = -231



7.
The following is a DFT calculation (PBE) of a relaxed structure of BaLa2Sb.

Cell lengths 4.1586, 5.8380, 6.1949 Å; angles 90.00, 96.25, 90.00 degrees
Fractional coordinates of all 4 atoms:
Ba: 0.0000 0.0000 0.0000
La: 0.3269 0.5000 0.7111
La: 0.6731 0.5000 0.2889
Sb: 0.5000 0.0000 0.5000

Values from the calculation:
- crystal system = monoclinic
- symmetry = No. 10
- ΔE_f (raw) (meV/atom) = -365



8.
The following is a DFT calculation (PBE) of a relaxed structure of K3TmAg2Cl9.

Cell lengths 7.3968, 7.3968, 9.1985 Å; angles 90.00, 90.00, 120.00 degrees
Fractional coordinates of all 15 atoms:
K: 0.0000 0.0000 0.0000
K: 0.3333 0.6667 0.7134
K: 0.6667 0.3333 0.2866
Tm: 0.0000 0.0000 0.5000
Ag: 0.3333 0.6667 0.1598
Ag: 0.6667 0.3333 0.8402
Cl: 0.0000 0.5000 0.0000
Cl: 0.1636 0.3271 0.3346
Cl: 0.1636 0.8364 0.3346
Cl: 0.3271 0.1636 0.6654
Cl: 0.5000 0.0000 0.0000
Cl: 0.5000 0.5000 0.0000
Cl: 0.6729 0.8364 0.3346
Cl: 0.8364 0.1636 0.6654
Cl: 0.8364 0.6729 0.6654

Values from the calculation:
- crystal system = trigonal
- symmetry = No. 164
- ΔE_f (raw) (meV/atom) = -1518



9.
The following is a DFT calculation (PBE) of a relaxed structure of Ba2SrMgAl.

Cell lengths 6.8115, 6.8115, 5.8614 Å; angles 90.00, 90.00, 90.00 degrees
Fractional coordinates of all 5 atoms:
Ba: 0.0000 0.5000 0.0000
Ba: 0.5000 0.0000 0.0000
Sr: 0.0000 0.0000 0.0000
Mg: 0.0000 0.0000 0.5000
Al: 0.5000 0.5000 0.5000

Values from the calculation:
- E_form (eV/atom) = 0.9113
- crystal system = tetragonal
- symmetry = No. 123



10.
The following is a DFT calculation (PBE) of a relaxed structure of Re2PRu.

Cell lengths 3.7607, 3.7607, 7.9054 Å; angles 90.00, 90.00, 90.00 degrees
Fractional coordinates of all 8 atoms:
Re: 0.0000 0.5000 0.2500
Re: 0.0000 0.5000 0.7500
Re: 0.5000 0.0000 0.2500
Re: 0.5000 0.0000 0.7500
P: 0.0000 0.0000 0.0000
P: 0.5000 0.5000 0.5000
Ru: 0.0000 0.0000 0.5000
Ru: 0.5000 0.5000 0.0000

Values from the calculation:
- E_form (eV/atom) = 0.3433
- crystal system = tetragonal
- symmetry = No. 139



11.
The following is a DFT calculation (PBE) of a relaxed structure of PmScCoNi.

Cell lengths 6.6114, 6.6114, 6.6114 Å; angles 90.00, 90.00, 90.00 degrees
Fractional coordinates of all 16 atoms:
Pm: 0.0000 0.0000 0.0000
Pm: 0.0000 0.5000 0.5000
Pm: 0.5000 0.0000 0.5000
Pm: 0.5000 0.5000 0.0000
Sc: 0.0000 0.0000 0.5000
Sc: 0.0000 0.5000 0.0000
Sc: 0.5000 0.0000 0.0000
Sc: 0.5000 0.5000 0.5000
Co: 0.2500 0.2500 0.7500
Co: 0.2500 0.7500 0.2500
Co: 0.7500 0.2500 0.2500
Co: 0.7500 0.7500 0.7500
Ni: 0.2500 0.2500 0.2500
Ni: 0.2500 0.7500 0.7500
Ni: 0.7500 0.2500 0.7500
Ni: 0.7500 0.7500 0.2500

Values from the calculation:
- E_form (eV/atom) = -0.2078
- crystal system = cubic
- symmetry = No. 216



12.
The following is a DFT calculation (PBE) of a relaxed structure of Ti4CrFe3.

Cell lengths 2.9643, 2.9643, 11.9783 Å; angles 90.00, 90.00, 90.00 degrees
Fractional coordinates of all 8 atoms:
Ti: 0.0000 0.0000 0.1236
Ti: 0.0000 0.0000 0.3704
Ti: 0.0000 0.0000 0.6296
Ti: 0.0000 0.0000 0.8764
Cr: 0.5000 0.5000 0.5000
Fe: 0.5000 0.5000 0.0000
Fe: 0.5000 0.5000 0.2446
Fe: 0.5000 0.5000 0.7554

Values from the calculation:
- E_form (eV/atom) = -0.2984
- crystal system = tetragonal
- symmetry = No. 123



13.
The following is a DFT calculation (PBE) of a relaxed structure of MgAsPb2.

Cell lengths 4.2924, 5.3634, 9.2900 Å; angles 90.00, 90.00, 90.00 degrees
Fractional coordinates of all 8 atoms:
Mg: 0.0000 0.0000 0.0000
Mg: 0.5000 0.5000 0.0000
As: 0.0000 0.0000 0.5000
As: 0.5000 0.5000 0.5000
Pb: 0.0000 0.5000 0.2637
Pb: 0.0000 0.5000 0.7363
Pb: 0.5000 0.0000 0.2637
Pb: 0.5000 0.0000 0.7363

Values from the calculation:
- energy relative to the lowest polymorph listed for this composition (meV per atom) = 262.3
- E_form (eV/atom) = 0.1534
- crystal system = orthorhombic
- symmetry = No. 65



Number 1: total DFT energy (no corrections) -2.925 eV per atom. Number 2: total DFT energy (no corrections) -1.675 eV per atom. Number 3: total DFT energy (no corrections) -3.270 eV per atom. Number 4: total DFT energy (no corrections) -5.361 eV per atom. Number 5: total DFT energy (no corrections) -5.165 eV per atom. Number 6: total DFT energy (no corrections) -2.796 eV per atom. Number 7: total DFT energy (no corrections) -4.340 eV per atom. Number 8: total DFT energy (no corrections) -3.523 eV per atom. Number 9: total DFT energy (no corrections) -1.262 eV per atom. Number 10: total DFT energy (no corrections) -9.552 eV per atom. Number 11: total DFT energy (no corrections) -6.200 eV per atom. Number 12: total DFT energy (no corrections) -8.622 eV per atom. Number 13: total DFT energy (no corrections) -3.262 eV per atom.